(1)
FeRuI2 PBE relaxed; total DFT energy (no corrections) = -69.71 eV/cell; ΔE to the lowest computed polymorph = 0.00 eV per formula unit; space-group type = No. 122; E_form (uncorrected) = 19.67 kcal/mol of atoms
1.0
5.8586 0.0000 0.0000
0.0000 5.8586 0.0000
0.0000 0.0000 11.5132
Fe Ru I
4 4 8
direct
0.0000 0.0000 0.0000
0.0000 0.5000 0.2500
0.5000 0.0000 0.7500
0.5000 0.5000 0.5000
0.0000 0.0000 0.5000
0.0000 0.5000 0.7500
0.5000 0.0000 0.2500
0.5000 0.5000 0.0000
0.2318 0.2500 0.1250
0.2500 0.7318 0.3750
0.2500 0.7682 0.8750
0.2682 0.2500 0.6250
0.7318 0.7500 0.6250
0.7500 0.2318 0.8750
0.7500 0.2682 0.3750
0.7682 0.7500 0.1250

=====

(2)
FeRuI2 PBE relaxed; total DFT energy (no corrections) = -67.61 eV/cell; ΔE to the lowest computed polymorph = 0.53 eV per formula unit; space-group type = No. 225; E_form (uncorrected) = 22.70 kcal/mol of atoms
1.0
6.8210 0.0000 0.0000
0.0000 6.8210 0.0000
0.0000 0.0000 6.8210
Fe Ru I
4 4 8
direct
0.0000 0.0000 0.0000
0.0000 0.5000 0.5000
0.5000 0.0000 0.5000
0.5000 0.5000 0.0000
0.0000 0.0000 0.5000
0.0000 0.5000 0.0000
0.5000 0.0000 0.0000
0.5000 0.5000 0.5000
0.2500 0.2500 0.2500
0.2500 0.2500 0.7500
0.2500 0.7500 0.2500
0.2500 0.7500 0.7500
0.7500 0.2500 0.2500
0.7500 0.2500 0.7500
0.7500 0.7500 0.2500
0.7500 0.7500 0.7500

=====

(3)
Fe3RuI9 PBE relaxed; total DFT energy (no corrections) = -97.71 eV/cell; space-group type = No. 9; E_form (uncorrected) = -0.43 kcal/mol of atoms
1.0
9.4657 -4.9590 0.0000
9.4657 4.9590 0.0000
-8.4997 0.0000 10.8749
Fe Ru I
6 2 18
direct
0.0443 0.9557 0.5000
0.2783 0.5052 0.5902
0.5052 0.2783 0.0902
0.5680 0.7133 0.4542
0.7133 0.5680 0.9542
0.9557 0.0443 0.0000
0.0440 0.4874 0.7754
0.4874 0.0440 0.2754
0.0158 0.7287 0.5006
0.0494 0.7731 0.8327
0.0646 0.1841 0.7120
0.1601 0.3543 0.5931
0.1841 0.0646 0.2120
0.2557 0.7900 0.3856
0.3530 0.4172 0.9306
0.3543 0.1601 0.0931
0.4172 0.3530 0.4306
0.4467 0.6775 0.7823
0.5801 0.9619 0.4713
0.6035 0.7240 0.1351
0.6775 0.4467 0.2823
0.7240 0.6035 0.6351
0.7287 0.0158 0.0006
0.7731 0.0494 0.3327
0.7900 0.2557 0.8856
0.9619 0.5801 0.9713

=====

Q: Number 3 is which compound?
A: Fe3RuI9

=====

What did the second record say?
FeRuI2 PBE relaxed; total DFT energy (no corrections) = -67.61 eV/cell; ΔE to the lowest computed polymorph = 0.53 eV per formula unit; space-group type = No. 225; E_form (uncorrected) = 22.70 kcal/mol of atoms
1.0
6.8210 0.0000 0.0000
0.0000 6.8210 0.0000
0.0000 0.0000 6.8210
Fe Ru I
4 4 8
direct
0.0000 0.0000 0.0000
0.0000 0.5000 0.5000
0.5000 0.0000 0.5000
0.5000 0.5000 0.0000
0.0000 0.0000 0.5000
0.0000 0.5000 0.0000
0.5000 0.0000 0.0000
0.5000 0.5000 0.5000
0.2500 0.2500 0.2500
0.2500 0.2500 0.7500
0.2500 0.7500 0.2500
0.2500 0.7500 0.7500
0.7500 0.2500 0.2500
0.7500 0.2500 0.7500
0.7500 0.7500 0.2500
0.7500 0.7500 0.7500